DFT (GGA-PBE) results for a relaxed structure of LiCePmIn.

Cell lengths 5.4030, 5.4030, 5.4030 Å; angles 60.00, 60.00, 60.00 degrees
Last column: nearest neighbours and their distance in Å.
Fractional coordinates of all 4 atoms:
In: 0.5000 0.5000 0.5000  4 Pm 3.31, 4 Ce 3.31
Li: 0.0000 0.0000 0.0000  4 Ce 3.31, 4 Pm 3.31
Ce: 0.2500 0.2500 0.2500  4 In 3.31, 4 Li 3.31
Pm: 0.7500 0.7500 0.7500  4 In 3.31, 4 Li 3.31

Summary:
Formation energy = -0.6 eV/f.u.